No. 1
! Ba2YIn, relaxed, DFT PBE-GGA; values from VASP
! **Energy relative to the elements**: -0.11 eV per formula unit
! **Space group**: I4/mmm, No. 139
&SYSTEM
  ibrav = 0, nat = 8, ntyp = 3
/
ATOMIC_SPECIES
Ba 137.33 Ba.upf
Y 88.91 Y.upf
In 114.82 In.upf
CELL_PARAMETERS angstrom
5.2223 0.0000 0.0000
0.0000 5.2223 0.0000
0.0000 0.0000 11.0996
ATOMIC_POSITIONS angstrom
Ba 0.0000 2.6111 2.7749
Ba 0.0000 2.6111 8.3247
Ba 2.6111 0.0000 2.7749
Ba 2.6111 0.0000 8.3247
Y 0.0000 0.0000 0.0000
Y 2.6111 2.6111 5.5498
In 0.0000 0.0000 5.5498
In 2.6111 2.6111 0.0000

***

No. 2
! Ba2YIn, relaxed, DFT PBE-GGA; values from VASP
! **Energy relative to the elements**: -0.05 eV per formula unit
! **Space group**: R3m, No. 160
&SYSTEM
  ibrav = 0, nat = 12, ntyp = 3
/
ATOMIC_SPECIES
Ba 137.33 Ba.upf
Y 88.91 Y.upf
In 114.82 In.upf
CELL_PARAMETERS angstrom
4.0654 0.0000 0.0000
-2.0327 3.5208 0.0000
0.0000 0.0000 36.2747
ATOMIC_POSITIONS angstrom
Ba 0.0000 0.0000 0.0000
Ba 0.0000 0.0000 8.1785
Ba 0.0000 2.3472 24.1832
Ba 0.0000 2.3472 32.3617
Ba 2.0327 1.1736 12.0916
Ba 2.0327 1.1736 20.2701
Y 0.0000 0.0000 16.9778
Y 0.0000 2.3472 4.8862
Y 2.0327 1.1736 29.0694
In 0.0000 0.0000 26.8708
In 0.0000 2.3472 14.7792
In 2.0327 1.1736 2.6876

***

No. 3
! BaYIn2, relaxed, DFT PBE-GGA; values from VASP
! **Energy relative to the elements**: -1.08 eV per formula unit
! **Space group**: Imm2, No. 44
&SYSTEM
  ibrav = 0, nat = 8, ntyp = 3
/
ATOMIC_SPECIES
Ba 137.33 Ba.upf
Y 88.91 Y.upf
In 114.82 In.upf
CELL_PARAMETERS angstrom
4.1774 0.0000 0.0000
0.0000 5.0696 0.0000
0.0000 0.0000 13.3415
ATOMIC_POSITIONS angstrom
Ba 0.0000 0.0000 0.0000
Ba 2.0887 2.5348 6.6707
Y 0.0000 2.5348 3.2141
Y 2.0887 0.0000 9.8849
In 0.0000 0.0000 5.3079
In 0.0000 2.5348 9.8127
In 2.0887 0.0000 3.1419
In 2.0887 2.5348 11.9786

***

No. 4
! Ba2YIn, relaxed, DFT PBE-GGA; values from VASP
! **Energy relative to the elements**: -0.60 eV per formula unit
! **Space group**: P4mm, No. 99
&SYSTEM
  ibrav = 0, nat = 4, ntyp = 3
/
ATOMIC_SPECIES
Ba 137.33 Ba.upf
Y 88.91 Y.upf
In 114.82 In.upf
CELL_PARAMETERS angstrom
4.0575 0.0000 0.0000
0.0000 4.0575 0.0000
0.0000 0.0000 10.3694
ATOMIC_POSITIONS angstrom
Ba 0.0000 0.0000 0.0000
Ba 2.0287 2.0287 3.7154
Y 2.0287 2.0287 7.5417
In 0.0000 0.0000 6.0862

***

No. 5
! BaY2In, relaxed, DFT PBE-GGA; values from VASP
! **Energy relative to the elements**: 0.12 eV per formula unit
! **Space group**: F-43m, No. 216
&SYSTEM
  ibrav = 0, nat = 16, ntyp = 3
/
ATOMIC_SPECIES
Ba 137.33 Ba.upf
Y 88.91 Y.upf
In 114.82 In.upf
CELL_PARAMETERS angstrom
8.1482 0.0000 0.0000
0.0000 8.1482 0.0000
0.0000 0.0000 8.1482
ATOMIC_POSITIONS angstrom
Ba 0.0000 0.0000 0.0000
Ba 0.0000 4.0741 4.0741
Ba 4.0741 0.0000 4.0741
Ba 4.0741 4.0741 0.0000
Y 0.0000 0.0000 4.0741
Y 0.0000 4.0741 0.0000
Y 2.0370 2.0370 2.0370
Y 2.0370 6.1111 6.1111
Y 4.0741 0.0000 0.0000
Y 4.0741 4.0741 4.0741
Y 6.1111 2.0370 6.1111
Y 6.1111 6.1111 2.0370
In 2.0370 2.0370 6.1111
In 2.0370 6.1111 2.0370
In 6.1111 2.0370 2.0370
In 6.1111 6.1111 6.1111

***

No. 6
! Ba2YIn, relaxed, DFT PBE-GGA; values from VASP
! **Energy relative to the elements**: 0.75 eV per formula unit
! **Space group**: I-42d, No. 122
&SYSTEM
  ibrav = 0, nat = 16, ntyp = 3
/
ATOMIC_SPECIES
Ba 137.33 Ba.upf
Y 88.91 Y.upf
In 114.82 In.upf
CELL_PARAMETERS angstrom
9.8720 0.0000 0.0000
0.0000 9.8720 0.0000
0.0000 0.0000 6.9352
ATOMIC_POSITIONS angstrom
Ba 2.1432 2.4680 0.8669
Ba 2.4680 7.0792 2.6007
Ba 2.4680 7.7289 6.0683
Ba 2.7928 2.4680 4.3345
Ba 7.0792 7.4040 4.3345
Ba 7.4040 2.1432 6.0683
Ba 7.4040 2.7928 2.6007
Ba 7.7289 7.4040 0.8669
Y 0.0000 0.0000 3.4676
Y 0.0000 4.9360 5.2014
Y 4.9360 0.0000 1.7338
Y 4.9360 4.9360 0.0000
In 0.0000 0.0000 0.0000
In 0.0000 4.9360 1.7338
In 4.9360 0.0000 5.2014
In 4.9360 4.9360 3.4676

***

No. 7
! BaYZnIn2, relaxed, DFT PBE-GGA; values from VASP
! **Energy relative to the elements**: 2.95 eV per formula unit
! **Space group**: P4/mmm, No. 123
&SYSTEM
  ibrav = 0, nat = 5, ntyp = 4
/
ATOMIC_SPECIES
Ba 137.33 Ba.upf
Y 88.91 Y.upf
Zn 65.41 Zn.upf
In 114.82 In.upf
CELL_PARAMETERS angstrom
5.8683 0.0000 0.0000
0.0000 5.8683 0.0000
0.0000 0.0000 6.7041
ATOMIC_POSITIONS angstrom
Ba 0.0000 0.0000 0.0000
Y 0.0000 0.0000 3.3520
Zn 2.9342 2.9342 0.0000
In 0.0000 2.9342 3.3520
In 2.9342 0.0000 3.3520

***

No. 8
! BaY2ZrIn, relaxed, DFT PBE-GGA; values from VASP
! **Energy relative to the elements**: 6.07 eV per formula unit
! **Space group**: P4/mmm, No. 123
&SYSTEM
  ibrav = 0, nat = 5, ntyp = 4
/
ATOMIC_SPECIES
Ba 137.33 Ba.upf
Y 88.91 Y.upf
Zr 91.22 Zr.upf
In 114.82 In.upf
CELL_PARAMETERS angstrom
5.6526 0.0000 0.0000
0.0000 5.6526 0.0000
0.0000 0.0000 5.3766
ATOMIC_POSITIONS angstrom
Ba 0.0000 0.0000 0.0000
Y 0.0000 2.8263 0.0000
Y 2.8263 0.0000 0.0000
Zr 0.0000 0.0000 2.6883
In 2.8263 2.8263 2.6883

***

No. 9
! Ba6ZnIn3, relaxed, DFT PBE-GGA; values from VASP
! **Energy relative to the elements**: -2.73 eV per formula unit
! **Space group**: P2_1/m, No. 11
&SYSTEM
  ibrav = 0, nat = 20, ntyp = 3
/
ATOMIC_SPECIES
Ba 137.33 Ba.upf
Zn 65.41 Zn.upf
In 114.82 In.upf
CELL_PARAMETERS angstrom
10.4776 0.0000 0.0000
0.0000 6.0266 0.0000
-5.1960 0.0000 12.9434
ATOMIC_POSITIONS angstrom
Ba -1.9410 1.5066 5.4113
Ba 0.9383 4.5199 2.0323
Ba -2.5328 1.5066 12.8698
Ba -0.7020 4.5199 10.7033
Ba 1.9954 1.5066 4.6247
Ba 0.6426 1.5066 8.3411
Ba 4.6390 4.5199 4.6023
Ba 3.2862 4.5199 8.3187
Ba 5.9835 1.5066 2.2401
Ba 7.8144 4.5199 0.0736
Ba 4.3433 1.5066 10.9111
Ba 7.2226 4.5199 7.5321
Zn 4.3365 4.5199 1.2044
Zn 0.9451 1.5066 11.7390
In -4.2632 4.5199 11.1343
In -2.9676 1.5066 9.2813
In 0.3184 4.5199 6.0471
In 4.9632 1.5066 6.8963
In 8.2492 4.5199 3.6621
In 9.5448 1.5066 1.8091

***

No. 10
! Ba2Zn2In, relaxed, DFT PBE-GGA; values from VASP
! **Energy relative to the elements**: -1.04 eV per formula unit
! **Space group**: P4/mbm, No. 127
&SYSTEM
  ibrav = 0, nat = 10, ntyp = 3
/
ATOMIC_SPECIES
Ba 137.33 Ba.upf
Zn 65.41 Zn.upf
In 114.82 In.upf
CELL_PARAMETERS angstrom
8.7306 0.0000 0.0000
0.0000 8.7306 0.0000
0.0000 0.0000 4.3593
ATOMIC_POSITIONS angstrom
Ba 1.6655 2.6998 0.0000
Ba 2.6998 7.0651 0.0000
Ba 6.0308 1.6655 0.0000
Ba 7.0651 6.0308 0.0000
Zn 0.9234 5.2887 2.1797
Zn 3.4419 0.9234 2.1797
Zn 5.2887 7.8072 2.1797
Zn 7.8072 3.4419 2.1797
In 0.0000 0.0000 2.1797
In 4.3653 4.3653 2.1797

***

No. 11
! Ba2Zn3In5, relaxed, DFT PBE-GGA; values from VASP
! **Energy relative to the elements**: -3.07 eV per formula unit
! **Space group**: P-4m2, No. 115
&SYSTEM
  ibrav = 0, nat = 10, ntyp = 3
/
ATOMIC_SPECIES
Ba 137.33 Ba.upf
Zn 65.41 Zn.upf
In 114.82 In.upf
CELL_PARAMETERS angstrom
4.7980 0.0000 0.0000
0.0000 4.7980 0.0000
0.0000 0.0000 11.8950
ATOMIC_POSITIONS angstrom
Ba 0.0000 2.3990 2.8141
Ba 2.3990 0.0000 9.0809
Zn 0.0000 0.0000 0.0000
Zn 0.0000 2.3990 10.5245
Zn 2.3990 0.0000 1.3705
In 0.0000 0.0000 5.9475
In 0.0000 2.3990 7.7979
In 2.3990 0.0000 4.0971
In 2.3990 2.3990 0.0000
In 2.3990 2.3990 5.9475

***

No. 12
! BaZnIn, relaxed, DFT PBE-GGA; values from VASP
! **Energy relative to the elements**: -0.90 eV per formula unit
! **Space group**: P-6m2, No. 187
&SYSTEM
  ibrav = 0, nat = 3, ntyp = 3
/
ATOMIC_SPECIES
Ba 137.33 Ba.upf
Zn 65.41 Zn.upf
In 114.82 In.upf
CELL_PARAMETERS angstrom
5.0247 0.0000 0.0000
-2.5124 4.3515 0.0000
0.0000 0.0000 4.3682
ATOMIC_POSITIONS angstrom
Ba 0.0000 0.0000 0.0000
Zn 0.0000 2.9010 2.1841
In 2.5124 1.4505 2.1841

***

No. 13
! Ba5ZnIn2, relaxed, DFT PBE-GGA; values from VASP
! **Energy relative to the elements**: -1.95 eV per formula unit
! **Space group**: Pbam, No. 55
&SYSTEM
  ibrav = 0, nat = 16, ntyp = 3
/
ATOMIC_SPECIES
Ba 137.33 Ba.upf
Zn 65.41 Zn.upf
In 114.82 In.upf
CELL_PARAMETERS angstrom
7.6800 0.0000 0.0000
0.0000 14.6096 0.0000
0.0000 0.0000 6.0237
ATOMIC_POSITIONS angstrom
Ba 0.0000 0.0000 0.0000
Ba 1.0724 4.1629 0.0000
Ba 1.2434 8.8705 3.0118
Ba 2.5966 1.5657 3.0118
Ba 2.7676 11.4677 0.0000
Ba 3.8400 7.3048 0.0000
Ba 4.9124 3.1419 0.0000
Ba 5.0834 13.0439 3.0118
Ba 6.4366 5.7391 3.0118
Ba 6.6076 10.4467 0.0000
Zn 0.0000 7.3048 0.0000
Zn 3.8400 0.0000 0.0000
In 1.0421 12.7076 3.0118
In 2.7979 5.4028 3.0118
In 4.8821 9.2068 3.0118
In 6.6379 1.9020 3.0118

***

No. 14
! BaZnIn2, relaxed, DFT PBE-GGA; values from VASP
! **Energy relative to the elements**: -1.11 eV per formula unit
! **Space group**: R-3m, No. 166
&SYSTEM
  ibrav = 0, nat = 12, ntyp = 3
/
ATOMIC_SPECIES
Ba 137.33 Ba.upf
Zn 65.41 Zn.upf
In 114.82 In.upf
CELL_PARAMETERS angstrom
4.6731 0.0000 0.0000
-2.3366 4.0471 0.0000
0.0000 0.0000 19.7117
ATOMIC_POSITIONS angstrom
Ba 0.0000 0.0000 0.0000
Ba 0.0000 2.6980 13.1412
Ba 2.3366 1.3490 6.5706
Zn 0.0000 0.0000 9.8559
Zn 0.0000 2.6980 3.2853
Zn 2.3366 1.3490 16.4264
In 0.0000 0.0000 4.2189
In 0.0000 0.0000 15.4929
In 0.0000 2.6980 8.9223
In 0.0000 2.6980 17.3601
In 2.3366 1.3490 2.3517
In 2.3366 1.3490 10.7895

***

Spin magnetization list, top to bottom, in μB/f.u.: 0.0 0.3 0.0 0.0 0.7 0.0 1.6 0.0 0.0 0.0 0.0 0.0 0.0 0.0